# Rb2HgBr2, relaxed, DFT PBEsol
# - Uncorrected formation energy: -1.26 eV/atom
# - Theoretical density: 4.9 g/cm³
data_Rb2HgBr2
_chemical_formula_sum 'Rb4 Hg2 Br4'
_symmetry_space_group_name_H-M 'P 4/m b m'
_symmetry_Int_Tables_number 127
_symmetry_space_group_name_Hall '-P 4 2ab'
_cell_length_a 9.296
_cell_length_b 9.296
_cell_length_c 4.181
_cell_angle_alpha 90.00
_cell_angle_beta 90.00
_cell_angle_gamma 90.00
loop_
_atom_site_label
_atom_site_fract_x
_atom_site_fract_y
_atom_site_fract_z
Rb1 0.143 0.357 0.000
Hg1 0.000 0.000 0.000
Br1 0.155 0.655 0.500

---

# TcTeIN2, relaxed, DFT PBEsol
# - Uncorrected formation energy: 1.90 eV/atom
# - Theoretical density: 6.1 g/cm³
data_TcTeIN2
_chemical_formula_sum 'Tc1 Te1 I1 N2'
_symmetry_space_group_name_H-M 'P 4/m m m'
_symmetry_Int_Tables_number 123
_symmetry_space_group_name_Hall '-P 4 2'
_cell_length_a 3.964
_cell_length_b 3.964
_cell_length_c 6.622
_cell_angle_alpha 90.00
_cell_angle_beta 90.00
_cell_angle_gamma 90.00
loop_
_atom_site_label
_atom_site_fract_x
_atom_site_fract_y
_atom_site_fract_z
Tc1 0.000 0.000 0.000
Te1 0.500 0.500 0.500
I1 0.500 0.500 0.000
N1 0.000 0.500 0.500

---

# CdInAg2N, relaxed, DFT PBEsol
# - Uncorrected formation energy: 0.45 eV/atom
# - Theoretical density: 8.5 g/cm³
data_CdInAg2N
_chemical_formula_sum 'Cd1 In1 Ag2 N1'
_symmetry_space_group_name_H-M 'P 4/m m m'
_symmetry_Int_Tables_number 123
_symmetry_space_group_name_Hall '-P 4 2'
_cell_length_a 4.350
_cell_length_b 4.350
_cell_length_c 4.741
_cell_angle_alpha 90.00
_cell_angle_beta 90.00
_cell_angle_gamma 90.00
loop_
_atom_site_label
_atom_site_fract_x
_atom_site_fract_y
_atom_site_fract_z
Cd1 0.000 0.000 0.000
In1 0.500 0.500 0.000
Ag1 0.000 0.500 0.500
N1 0.500 0.500 0.500

---

# BaTaW2, relaxed, DFT PBEsol
# - Formation energy from the elements: 0.98 eV/atom
# - Theoretical density: 13.6 g/cm³
# - Polymorph energy (0 for the lowest one): 0 meV/atom
data_BaTaW2
_chemical_formula_sum 'Ba3 Ta3 W6'
_symmetry_space_group_name_H-M 'R 3 m'
_symmetry_Int_Tables_number 160
_symmetry_space_group_name_Hall 'R 3 -2"'
_cell_length_a 3.1102
_cell_length_b 3.1102
_cell_length_c 30.0458
_cell_angle_alpha 90.00
_cell_angle_beta 90.00
_cell_angle_gamma 120.00
loop_
_atom_site_label
_atom_site_fract_x
_atom_site_fract_y
_atom_site_fract_z
Ba1 0.0000 0.0000 0.0000
Ta1 0.0000 0.0000 0.2307
W1 0.0000 0.0000 0.4950
W2 0.0000 0.0000 0.7653

---

# LaSbSe2, relaxed, DFT PBEsol
# - Uncorrected formation energy: -0.90 eV/atom
# - Theoretical density: 7.1 g/cm³
# - Polymorph energy (0 for the lowest one): 193 meV/atom
data_LaSbSe2
_chemical_formula_sum 'La2 Sb2 Se4'
_symmetry_space_group_name_H-M 'I 4/m m m'
_symmetry_Int_Tables_number 139
_symmetry_space_group_name_Hall '-I 4 2'
_cell_length_a 5.384
_cell_length_b 5.384
_cell_length_c 6.750
_cell_angle_alpha 90.00
_cell_angle_beta 90.00
_cell_angle_gamma 90.00
loop_
_atom_site_label
_atom_site_fract_x
_atom_site_fract_y
_atom_site_fract_z
La1 0.000 0.000 0.000
Sb1 0.000 0.000 0.500
Se1 0.000 0.500 0.250

---

# Y2CdRu2, relaxed, DFT PBEsol
# - Formation energy from the elements: -0.21 eV/atom
# - Theoretical density: 8.0 g/cm³
data_Y2CdRu2
_chemical_formula_sum 'Y4 Cd2 Ru4'
_symmetry_space_group_name_H-M 'P 4/m b m'
_symmetry_Int_Tables_number 127
_symmetry_space_group_name_Hall '-P 4 2ab'
_cell_length_a 7.042
_cell_length_b 7.042
_cell_length_c 4.100
_cell_angle_alpha 90.00
_cell_angle_beta 90.00
_cell_angle_gamma 90.00
loop_
_atom_site_label
_atom_site_fract_x
_atom_site_fract_y
_atom_site_fract_z
Y1 0.177 0.323 0.000
Cd1 0.000 0.000 0.500
Ru1 0.124 0.624 0.500

---

# HgB2AuC, relaxed, DFT PBEsol
# - Formation energy from the elements: 2.10 eV/atom
# - Theoretical density: 8.9 g/cm³
data_HgB2AuC
_chemical_formula_sum 'Hg1 B2 Au1 C1'
_symmetry_space_group_name_H-M 'P 4/m m m'
_symmetry_Int_Tables_number 123
_symmetry_space_group_name_Hall '-P 4 2'
_cell_length_a 3.999
_cell_length_b 3.999
_cell_length_c 5.025
_cell_angle_alpha 90.00
_cell_angle_beta 90.00
_cell_angle_gamma 90.00
loop_
_atom_site_label
_atom_site_fract_x
_atom_site_fract_y
_atom_site_fract_z
Hg1 0.000 0.000 0.000
B1 0.000 0.500 0.500
Au1 0.500 0.500 0.500
C1 0.500 0.500 0.000

---

# LaMgTi2Tc, relaxed, DFT PBEsol
# - Formation energy from the elements: 1.75 eV/atom
# - Theoretical density: 5.0 g/cm³
data_LaMgTi2Tc
_chemical_formula_sum 'La1 Mg1 Ti2 Tc1'
_symmetry_space_group_name_H-M 'P 4/m m m'
_symmetry_Int_Tables_number 123
_symmetry_space_group_name_Hall '-P 4 2'
_cell_length_a 4.653
_cell_length_b 4.653
_cell_length_c 5.457
_cell_angle_alpha 90.00
_cell_angle_beta 90.00
_cell_angle_gamma 90.00
loop_
_atom_site_label
_atom_site_fract_x
_atom_site_fract_y
_atom_site_fract_z
La1 0.000 0.000 0.000
Mg1 0.000 0.000 0.500
Ti1 0.000 0.500 0.500
Tc1 0.500 0.500 0.000

---

# CaLaZn2, relaxed, DFT PBEsol
# - Formation energy from the elements: -0.26 eV/atom
# - Theoretical density: 5.3 g/cm³
# - Polymorph energy (0 for the lowest one): 20 meV/atom
data_CaLaZn2
_chemical_formula_sum 'Ca1 La1 Zn2'
_symmetry_space_group_name_H-M 'P 4/m m m'
_symmetry_Int_Tables_number 123
_symmetry_space_group_name_Hall '-P 4 2'
_cell_length_a 5.210
_cell_length_b 5.210
_cell_length_c 3.603
_cell_angle_alpha 90.00
_cell_angle_beta 90.00
_cell_angle_gamma 90.00
loop_
_atom_site_label
_atom_site_fract_x
_atom_site_fract_y
_atom_site_fract_z
Ca1 0.000 0.000 0.000
La1 0.500 0.500 0.000
Zn1 0.000 0.500 0.500

---

# Sr2YAg, relaxed, DFT PBEsol
# - Formation energy from the elements: -0.07 eV/atom
# - Theoretical density: 4.4 g/cm³
# - Polymorph energy (0 for the lowest one): 0 meV/atom
data_Sr2YAg
_chemical_formula_sum 'Sr2 Y1 Ag1'
_symmetry_space_group_name_H-M 'P 4 m m'
_symmetry_Int_Tables_number 99
_cell_length_a 3.771
_cell_length_b 3.771
_cell_length_c 9.857
_cell_angle_alpha 90.00
_cell_angle_beta 90.00
_cell_angle_gamma 90.00
loop_
_symmetry_equiv_pos_as_xyz
'x,y,z'
'-y,x,z'
'-x,-y,z'
'y,-x,z'
'-x,y,z'
'y,x,z'
'x,-y,z'
'-y,-x,z'
loop_
_atom_site_label
_atom_site_fract_x
_atom_site_fract_y
_atom_site_fract_z
Sr1 0.000 0.000 0.000
Sr2 0.500 0.500 0.346
Y1 0.000 0.000 0.640
Ag1 0.500 0.500 0.786

---

# Zr2BeAl, relaxed, DFT PBEsol
# - Formation energy from the elements: -0.10 eV/atom
# - Theoretical density: 5.3 g/cm³
# - Polymorph energy (0 for the lowest one): 0 meV/atom
data_Zr2BeAl
_chemical_formula_sum 'Zr2 Be1 Al1'
_symmetry_space_group_name_H-M 'P 4 m m'
_symmetry_Int_Tables_number 99
_cell_length_a 2.997
_cell_length_b 2.997
_cell_length_c 7.622
_cell_angle_alpha 90.00
_cell_angle_beta 90.00
_cell_angle_gamma 90.00
loop_
_symmetry_equiv_pos_as_xyz
'x,y,z'
'-y,x,z'
'-x,-y,z'
'y,-x,z'
'-x,y,z'
'y,x,z'
'x,-y,z'
'-y,-x,z'
loop_
_atom_site_label
_atom_site_fract_x
_atom_site_fract_y
_atom_site_fract_z
Zr1 0.000 0.000 0.000
Zr2 0.500 0.500 0.317
Be1 0.500 0.500 0.763
Al1 0.000 0.000 0.591

---

# TaReAg2, relaxed, DFT PBEsol
# - Formation energy from the elements: 0.29 eV/atom
# - Theoretical density: 14.9 g/cm³
# - Polymorph energy (0 for the lowest one): 14 meV/atom
data_TaReAg2
_chemical_formula_sum 'Ta1 Re1 Ag2'
_symmetry_space_group_name_H-M 'P 1 m 1'
_symmetry_Int_Tables_number 6
_cell_length_a 2.742
_cell_length_b 4.082
_cell_length_c 5.805
_cell_angle_alpha 90.00
_cell_angle_beta 93.12
_cell_angle_gamma 90.00
loop_
_symmetry_equiv_pos_as_xyz
'x,y,z'
'x,-y,z'
loop_
_atom_site_label
_atom_site_fract_x
_atom_site_fract_y
_atom_site_fract_z
Ta1 0.000 0.000 0.000
Re1 0.611 0.500 0.771
Ag1 0.076 0.000 0.507
Ag2 0.554 0.500 0.273

---

# Lu4CdPt, relaxed, DFT PBEsol
# - Formation energy from the elements: -0.64 eV/atom
# - Theoretical density: 11.7 g/cm³
data_Lu4CdPt
_chemical_formula_sum 'Lu64 Cd16 Pt16'
_symmetry_space_group_name_H-M 'F -4 3 m'
_symmetry_Int_Tables_number 216
_symmetry_space_group_name_Hall 'F -4 2 3'
_cell_length_a 13.164
_cell_length_b 13.164
_cell_length_c 13.164
_cell_angle_alpha 90.00
_cell_angle_beta 90.00
_cell_angle_gamma 90.00
loop_
_atom_site_label
_atom_site_fract_x
_atom_site_fract_y
_atom_site_fract_z
Lu1 0.000 0.000 0.186
Lu2 0.060 0.250 0.250
Lu3 0.104 0.104 0.604
Cd1 0.168 0.168 0.832
Pt1 0.106 0.106 0.394

---

# Y2Ta2Mn, relaxed, DFT PBEsol
# - Formation energy from the elements: 0.77 eV/atom
# - Theoretical density: 8.3 g/cm³
data_Y2Ta2Mn
_chemical_formula_sum 'Y4 Ta4 Mn2'
_symmetry_space_group_name_H-M 'I 4/m m m'
_symmetry_Int_Tables_number 139
_symmetry_space_group_name_Hall '-I 4 2'
_cell_length_a 3.772
_cell_length_b 3.772
_cell_length_c 16.716
_cell_angle_alpha 90.00
_cell_angle_beta 90.00
_cell_angle_gamma 90.00
loop_
_atom_site_label
_atom_site_fract_x
_atom_site_fract_y
_atom_site_fract_z
Y1 0.000 0.000 0.098
Ta1 0.000 0.500 0.250
Mn1 0.000 0.000 0.500

---

# CaPt4Pb, relaxed, DFT PBEsol
# - Formation energy from the elements: -0.57 eV/atom
# - Theoretical density: 15.5 g/cm³
data_CaPt4Pb
_chemical_formula_sum 'Ca4 Pt16 Pb4'
_symmetry_space_group_name_H-M 'F -4 3 m'
_symmetry_Int_Tables_number 216
_symmetry_space_group_name_Hall 'F -4 2 3'
_cell_length_a 7.603
_cell_length_b 7.603
_cell_length_c 7.603
_cell_angle_alpha 90.00
_cell_angle_beta 90.00
_cell_angle_gamma 90.00
loop_
_atom_site_label
_atom_site_fract_x
_atom_site_fract_y
_atom_site_fract_z
Ca1 0.000 0.000 0.000
Pt1 0.125 0.125 0.625
Pb1 0.250 0.250 0.250

---

# YZr2Hg, relaxed, DFT PBEsol
# - Formation energy from the elements: 0.02 eV/atom
# - Theoretical density: 8.6 g/cm³
data_YZr2Hg
_chemical_formula_sum 'Y2 Zr4 Hg2'
_symmetry_space_group_name_H-M 'C m m m'
_symmetry_Int_Tables_number 65
_symmetry_space_group_name_Hall '-C 2 2'
_cell_length_a 6.415
_cell_length_b 9.008
_cell_length_c 3.140
_cell_angle_alpha 90.00
_cell_angle_beta 90.00
_cell_angle_gamma 90.00
loop_
_atom_site_label
_atom_site_fract_x
_atom_site_fract_y
_atom_site_fract_z
Y1 0.000 0.000 0.000
Zr1 0.250 0.250 0.500
Hg1 0.000 0.500 0.000

---

# ZrMo2Pb, relaxed, DFT PBEsol
# - Formation energy from the elements: 0.40 eV/atom
# - Theoretical density: 11.0 g/cm³
data_ZrMo2Pb
_chemical_formula_sum 'Zr2 Mo4 Pb2'
_symmetry_space_group_name_H-M 'C 1 2/m 1'
_symmetry_Int_Tables_number 12
_cell_length_a 5.797
_cell_length_b 9.393
_cell_length_c 2.948
_cell_angle_alpha 90.00
_cell_angle_beta 113.25
_cell_angle_gamma 90.00
loop_
_symmetry_equiv_pos_as_xyz
'x,y,z'
'-x,-y,-z'
'-x,y,-z'
'x,-y,z'
'x+1/2,y+1/2,z'
'-x+1/2,-y+1/2,-z'
'-x+1/2,y+1/2,-z'
'x+1/2,-y+1/2,z'
loop_
_atom_site_label
_atom_site_fract_x
_atom_site_fract_y
_atom_site_fract_z
Zr1 0.000 0.000 0.000
Mo1 0.250 0.250 0.500
Pb1 0.000 0.500 0.000

---

# SN, relaxed, DFT PBEsol
# - Uncorrected formation energy: 0.13 eV/atom
# - Theoretical density: 1.7 g/cm³
data_SN
_chemical_formula_sum 'S2 N2'
_symmetry_space_group_name_H-M 'P 1 2 1'
_symmetry_Int_Tables_number 3
_cell_length_a 3.776
_cell_length_b 3.088
_cell_length_c 7.975
_cell_angle_alpha 90.00
_cell_angle_beta 98.91
_cell_angle_gamma 90.00
loop_
_symmetry_equiv_pos_as_xyz
'x,y,z'
'-x,y,-z'
loop_
_atom_site_label
_atom_site_fract_x
_atom_site_fract_y
_atom_site_fract_z
S1 0.223 0.000 0.075
N1 0.098 0.482 0.560

---

# LiCaAlN2, relaxed, DFT PBEsol
# - Uncorrected formation energy: -1.16 eV/atom
# - Theoretical density: 3.0 g/cm³
data_LiCaAlN2
_chemical_formula_sum 'Li4 Ca4 Al4 N8'
_symmetry_space_group_name_H-M 'P 1 21/c 1'
_symmetry_Int_Tables_number 14
_cell_length_a 5.735
_cell_length_b 6.821
_cell_length_c 5.775
_cell_angle_alpha 90.00
_cell_angle_beta 90.16
_cell_angle_gamma 90.00
loop_
_symmetry_equiv_pos_as_xyz
'x,y,z'
'-x,-y,-z'
'-x,y+1/2,-z+1/2'
'x,-y+1/2,z+1/2'
loop_
_atom_site_label
_atom_site_fract_x
_atom_site_fract_y
_atom_site_fract_z
Li1 0.134 0.100 0.090
Ca1 0.473 0.128 0.758
Al1 0.121 0.640 0.075
N1 0.213 0.108 0.434
N2 0.233 0.646 0.394

---

# ScZn2Co, relaxed, DFT PBEsol
# - Formation energy from the elements: -0.15 eV/atom
# - Theoretical density: 6.6 g/cm³
data_ScZn2Co
_chemical_formula_sum 'Sc2 Zn4 Co2'
_symmetry_space_group_name_H-M 'A m m 2'
_symmetry_Int_Tables_number 38
_cell_length_a 3.819
_cell_length_b 2.992
_cell_length_c 10.262
_cell_angle_alpha 90.00
_cell_angle_beta 90.00
_cell_angle_gamma 90.00
loop_
_symmetry_equiv_pos_as_xyz
'x,y,z'
'-x,-y,z'
'-x,y,z'
'x,-y,z'
'x,y+1/2,z+1/2'
'-x,-y+1/2,z+1/2'
'-x,y+1/2,z+1/2'
'x,-y+1/2,z+1/2'
loop_
_atom_site_label
_atom_site_fract_x
_atom_site_fract_y
_atom_site_fract_z
Sc1 0.000 0.000 0.000
Zn1 0.000 0.000 0.732
Zn2 0.500 0.000 0.327
Co1 0.500 0.000 0.591

---

Fermi-level density of states (computed, states/eV/atom): 0.000 0.759 0.363 1.212 0.584 1.031 0.367 1.752 0.538 1.006 0.610 0.461 0.907 1.281 0.563 1.481 0.767 0.185 0.000 0.588